Entry from Alexandria: Ac2SiNi6Pt after structural relaxation (GGA-PBE).

Unit cell a=6.2476 b=6.2476 c=8.2334 alpha=127.50 beta=127.50 gamma=47.23
Last column: nearest neighbours and their distance in Å.
Element x y z (fractional)
Ac 0.2375 0.2375 0.1902  9 Ni 3.04-3.32, 2 Pt 3.23
Ac 0.7625 0.7625 0.8098  9 Ni 3.04-3.32, 2 Pt 3.23
Si 0.0000 0.0000 0.5000  6 Ni 2.29-2.42
Ni 0.2289 0.7207 0.7065  1 Si 2.29, 4 Ni 2.40-2.54, 1 Pt 2.55
Ni 0.2478 0.2478 0.5881  4 Ni 2.40-2.42, 1 Si 2.42, 1 Pt 2.61
Ni 0.2793 0.7711 0.2935  1 Si 2.29, 4 Ni 2.40-2.54, 1 Pt 2.55
Ni 0.7207 0.2289 0.7065  1 Si 2.29, 4 Ni 2.40-2.54, 1 Pt 2.55
Ni 0.7522 0.7522 0.4119  4 Ni 2.40-2.42, 1 Si 2.42, 1 Pt 2.61
Ni 0.7711 0.2793 0.2935  1 Si 2.29, 4 Ni 2.40-2.54, 1 Pt 2.55
Pt 0.5000 0.5000 0.0000  6 Ni 2.55-2.61

Calculated values
Raw formation energy   -4.87 eV/f.u.

Entry from Alexandria: AcSi2NiPt5 after structural relaxation (GGA-PBE).

Unit cell a=4.1733 b=4.1733 c=10.0008 alpha=90.00 beta=90.00 gamma=90.00
Last column: nearest neighbours and their distance in Å.
Element x y z (fractional)
Ac 0.0000 0.0000 0.0000  4 Pt 2.95
Si 0.5000 0.5000 0.2373  5 Pt 2.37-2.38
Si 0.5000 0.5000 0.7627  5 Pt 2.37-2.38
Ni 0.0000 0.0000 0.5000  8 Pt 2.56
Pt 0.0000 0.5000 0.3512  2 Si 2.38, 2 Ni 2.56
Pt 0.0000 0.5000 0.6488  2 Si 2.38, 2 Ni 2.56
Pt 0.5000 0.0000 0.3512  2 Si 2.38, 2 Ni 2.56
Pt 0.5000 0.0000 0.6488  2 Si 2.38, 2 Ni 2.56
Pt 0.5000 0.5000 0.0000  2 Si 2.37

Calculated values
Raw formation energy   -5.69 eV/f.u.

Entry from Alexandria: Ac2NiSnPt6 after structural relaxation (GGA-PBE).

Unit cell a=6.8527 b=6.8527 c=8.7701 alpha=129.17 beta=129.17 gamma=47.81
Last column: nearest neighbours and their distance in Å.
Element x y z (fractional)
Ac 0.2362 0.2362 0.2743  7 Pt 3.16-3.42, 2 Ni 3.52
Ac 0.7638 0.7638 0.7257  7 Pt 3.16-3.42, 2 Ni 3.52
Ni 0.5000 0.5000 0.0000  6 Pt 2.54-2.56
Sn 0.0000 0.0000 0.5000  6 Pt 2.66
Pt 0.2516 0.7386 0.2397  1 Ni 2.54, 1 Sn 2.66, 3 Pt 2.70-2.83
Pt 0.2548 0.2548 0.9029  1 Ni 2.56, 1 Sn 2.66, 4 Pt 2.71-2.83
Pt 0.2614 0.7484 0.7603  1 Ni 2.54, 1 Sn 2.66, 3 Pt 2.70-2.83
Pt 0.7386 0.2516 0.2397  1 Ni 2.54, 1 Sn 2.66, 3 Pt 2.70-2.83
Pt 0.7452 0.7452 0.0971  1 Ni 2.56, 1 Sn 2.66, 4 Pt 2.71-2.83
Pt 0.7484 0.2614 0.7603  1 Ni 2.54, 1 Sn 2.66, 3 Pt 2.70-2.83

Calculated values
Calculated formation energy   -0.7536 eV/atom

Entry from Alexandria: AcNiSnPt3 after structural relaxation (GGA-PBE).

Unit cell a=6.4791 b=6.4791 c=7.6364 alpha=90.00 beta=90.00 gamma=127.15
Last column: nearest neighbours and their distance in Å.
Element x y z (fractional)
Ac 0.1921 0.8079 0.7500  1 Ni 2.76, 2 Pt 2.92
Ac 0.8079 0.1921 0.2500  1 Ni 2.76, 2 Pt 2.92
Ni 0.4298 0.5702 0.7500  5 Pt 2.51-2.61, 1 Ac 2.76
Ni 0.5702 0.4298 0.2500  5 Pt 2.51-2.61, 1 Ac 2.76
Sn 0.1175 0.8825 0.2500  5 Pt 2.64-2.77, 2 Ni 2.94
Sn 0.8825 0.1175 0.7500  5 Pt 2.64-2.77, 2 Ni 2.94
Pt 0.2551 0.2551 0.0000  2 Ni 2.51, 2 Sn 2.77
Pt 0.2551 0.2551 0.5000  2 Ni 2.51, 2 Sn 2.77
Pt 0.3450 0.6550 0.2500  1 Ni 2.61, 1 Sn 2.64, 2 Ac 2.92
Pt 0.6550 0.3450 0.7500  1 Ni 2.61, 1 Sn 2.64, 2 Ac 2.92
Pt 0.7449 0.7449 0.0000  2 Ni 2.51, 2 Sn 2.77
Pt 0.7449 0.7449 0.5000  2 Ni 2.51, 2 Sn 2.77

Calculated values
Calculated formation energy   -0.5698 eV/atom

Result set for density: 9.69, 12.56, 13.56, 12.86 g/cm3, one per record in the order listed.